Material: FeTePO2
Method: DFT, GGA+U
State: optimized geometry

a = 3.7989 Å, b = 3.7989 Å, c = 5.5043 Å
α = 90.00°, β = 90.00°, γ = 90.00°
Site moments in Bohr magnetons follow the coordinates.
Fractional positions:
1 Fe 0.0000 0.0000 0.0000  3.98
2 Te 0.5000 0.5000 0.5000  0.08
3 O 0.5000 0.0000 0.0000  0.37
4 O 0.0000 0.5000 0.0000  0.37
5 P 0.0000 0.0000 0.5000  -0.03

Output
polymorph energy (0 for the lowest one): 0 meV per atom
volume: 79.43 Å³ per cell
space group: P4/mmm, No. 123
raw total energy: -4.956 eV per atom